# LaPb6BrO7

LaPb6BrO7 at its PBEsol-relaxed geometry (SCAN, Alexandria via LeMat-Bulk).

Summary:
raw formation energy	-1597	meV per atom

abc: 9.335 9.335 8.140
angles: 90.00 90.00 118.37
Sites, in units of the cell vectors:
La 0.000 0.000 0.000
La 0.000 0.000 0.500
Pb 0.105 0.374 0.750
Pb 0.191 0.395 0.250
Pb 0.234 0.766 0.515
Pb 0.234 0.766 0.985
Pb 0.374 0.105 0.250
Pb 0.395 0.191 0.750
Pb 0.605 0.809 0.250
Pb 0.626 0.895 0.750
Pb 0.766 0.234 0.015
Pb 0.766 0.234 0.485
Pb 0.809 0.605 0.750
Pb 0.895 0.626 0.250
Br 0.500 0.500 0.000
Br 0.500 0.500 0.500
O 0.020 0.285 0.030
O 0.020 0.285 0.470
O 0.143 0.162 0.750
O 0.162 0.143 0.250
O 0.194 0.806 0.250
O 0.285 0.020 0.530
O 0.285 0.020 0.970
O 0.715 0.980 0.030
O 0.715 0.980 0.470
O 0.806 0.194 0.750
O 0.838 0.857 0.750
O 0.857 0.838 0.250
O 0.980 0.715 0.530
O 0.980 0.715 0.970

# SrTaNi2

SrTaNi2 at its PBEsol-relaxed geometry (SCAN, Alexandria via LeMat-Bulk).

Summary:
energy of formation	47	meV per atom

abc: 5.901 5.901 5.901
angles: 41.64 41.64 41.64
Sites, in units of the cell vectors:
Sr 0.000 0.000 0.000
Ta 0.500 0.500 0.500
Ni 0.194 0.194 0.194
Ni 0.806 0.806 0.806